Entry from Alexandria via LeMat-Bulk: a crystal of LiGa3O relaxed with PBEsol (meta-GGA SCAN).

POSCAR file:
```
LiGa3O
1.0
4.3417 0.0000 0.0000
0.0000 4.3417 0.0000
0.0000 0.0000 4.3417
Li Ga O
1 3 1
direct
0.0000 0.0000 0.0000
0.0000 0.0000 0.5000
0.0000 0.5000 0.0000
0.5000 0.0000 0.0000
0.5000 0.5000 0.5000
```

Properties
As for the total magnetization: 0.00 μB/f.u.

Entry from Alexandria via LeMat-Bulk: a crystal of LiGaO2 relaxed with PBEsol (meta-GGA SCAN).

POSCAR file:
```
LiGaO2
1.0
5.3967 0.0000 0.0000
0.0000 6.3628 0.0000
0.0000 0.0000 5.0063
Li Ga O
4 4 8
direct
0.0820 0.1242 0.0000
0.4180 0.6242 0.5000
0.5820 0.3758 0.0000
0.9180 0.8758 0.5000
0.0824 0.6262 0.0043
0.4176 0.1262 0.5043
0.5824 0.8738 0.0043
0.9176 0.3738 0.5043
0.0702 0.6140 0.3754
0.0908 0.1367 0.3944
0.4092 0.6367 0.8944
0.4298 0.1140 0.8754
0.5702 0.8860 0.3754
0.5908 0.3633 0.3944
0.9092 0.8633 0.8944
0.9298 0.3860 0.8754
```

Properties
As for the total magnetization: 0.00 μB/f.u.

Entry from Alexandria via LeMat-Bulk: a crystal of Li3GaO relaxed with PBEsol (meta-GGA SCAN).

POSCAR file:
```
Li3GaO
1.0
3.9280 0.0000 0.0000
0.0000 3.9280 0.0000
0.0000 0.0000 3.9280
Li Ga O
3 1 1
direct
0.0000 0.0000 0.5000
0.0000 0.5000 0.0000
0.5000 0.0000 0.0000
0.5000 0.5000 0.5000
0.0000 0.0000 0.0000
```

Properties
As for the total magnetization: 0.00 μB/f.u.

Entry from Alexandria via LeMat-Bulk: a crystal of LiGaO2 relaxed with PBEsol (meta-GGA SCAN).

POSCAR file:
```
LiGaO2
1.0
4.4620 0.0000 0.0000
0.0000 4.4620 0.0000
0.0000 0.0000 8.6281
Li Ga O
4 4 8
direct
0.0000 0.0000 0.0000
0.0000 0.5000 0.2500
0.5000 0.0000 0.7500
0.5000 0.5000 0.5000
0.0000 0.0000 0.5000
0.0000 0.5000 0.7500
0.5000 0.0000 0.2500
0.5000 0.5000 0.0000
0.2283 0.2500 0.6250
0.2500 0.7283 0.8750
0.2500 0.7717 0.3750
0.2717 0.2500 0.1250
0.7283 0.7500 0.1250
0.7500 0.2283 0.3750
0.7500 0.2717 0.8750
0.7717 0.7500 0.6250
```

Properties
As for the total magnetization: 0.00 μB/f.u.

Entry from Alexandria via LeMat-Bulk: a crystal of Li9Ga3P8O29 relaxed with PBEsol (meta-GGA SCAN).

POSCAR file:
```
Li9Ga3P8O29
1.0
9.6551 0.0000 0.0000
-4.8276 8.3616 0.0000
0.0000 0.0000 13.5729
Li Ga P O
18 6 16 58
direct
0.0000 0.0000 0.0000
0.0000 0.0000 0.5000
0.1012 0.3369 0.4369
0.1012 0.7644 0.9369
0.2356 0.3369 0.9369
0.2356 0.8988 0.4369
0.3333 0.6667 0.1191
0.3333 0.6667 0.6191
0.3369 0.1012 0.0631
0.3369 0.2356 0.5631
0.6631 0.7644 0.4369
0.6631 0.8988 0.9369
0.6667 0.3333 0.3809
0.6667 0.3333 0.8809
0.7644 0.1012 0.5631
0.7644 0.6631 0.0631
0.8988 0.2356 0.0631
0.8988 0.6631 0.5631
0.0000 0.4338 0.2500
0.0000 0.5662 0.7500
0.4338 0.0000 0.2500
0.4338 0.4338 0.7500
0.5662 0.0000 0.7500
0.5662 0.5662 0.2500
0.0905 0.3168 0.6555
0.0905 0.7737 0.1555
0.2263 0.3168 0.1555
0.2263 0.9095 0.6555
0.3168 0.0905 0.8445
0.3168 0.2263 0.3445
0.3333 0.6667 0.3734
0.3333 0.6667 0.8734
0.6667 0.3333 0.1266
0.6667 0.3333 0.6266
0.6832 0.7737 0.6555
0.6832 0.9095 0.1555
0.7737 0.0905 0.3445
0.7737 0.6832 0.8445
0.9095 0.2263 0.8445
0.9095 0.6832 0.3445
0.0000 0.2112 0.7500
0.0000 0.7888 0.2500
0.0030 0.2272 0.9346
0.0030 0.7758 0.4346
0.0758 0.3313 0.1552
0.0758 0.7445 0.6552
0.1077 0.4828 0.6663
0.1077 0.6248 0.1663
0.1890 0.5085 0.3346
0.1890 0.6805 0.8346
0.2112 0.0000 0.7500
0.2112 0.2112 0.2500
0.2242 0.2272 0.4346
0.2242 0.9970 0.9346
0.2272 0.0030 0.5654
0.2272 0.2242 0.0654
0.2555 0.3313 0.6552
0.2555 0.9242 0.1552
0.3195 0.5085 0.8346
0.3195 0.8110 0.3346
0.3313 0.0758 0.3448
0.3313 0.2555 0.8448
0.3333 0.6667 0.4848
0.3333 0.6667 0.9848
0.3752 0.4828 0.1663
0.3752 0.8923 0.6663
0.4828 0.1077 0.8337
0.4828 0.3752 0.3337
0.4915 0.6805 0.3346
0.4915 0.8110 0.8346
0.5085 0.1890 0.1654
0.5085 0.3195 0.6654
0.5172 0.6248 0.6663
0.5172 0.8923 0.1663
0.6248 0.1077 0.3337
0.6248 0.5172 0.8337
0.6667 0.3333 0.0152
0.6667 0.3333 0.5152
0.6687 0.7445 0.1552
0.6687 0.9242 0.6552
0.6805 0.1890 0.6654
0.6805 0.4915 0.1654
0.7445 0.0758 0.8448
0.7445 0.6687 0.3448
0.7728 0.7758 0.9346
0.7728 0.9970 0.4346
0.7758 0.0030 0.0654
0.7758 0.7728 0.5654
0.7888 0.0000 0.2500
0.7888 0.7888 0.7500
0.8110 0.3195 0.1654
0.8110 0.4915 0.6654
0.8923 0.3752 0.8337
0.8923 0.5172 0.3337
0.9242 0.2555 0.3448
0.9242 0.6687 0.8448
0.9970 0.2242 0.5654
0.9970 0.7728 0.0654
```

Properties
As for the total magnetization: 0.26 μB/f.u.

Entry from Alexandria via LeMat-Bulk: a crystal of Rb2Li3GaO4 relaxed with PBEsol (meta-GGA SCAN).

POSCAR file:
```
Rb2Li3GaO4
1.0
-2.4449 4.8565 5.6357
2.4449 -4.8565 5.6357
2.4449 4.8565 -5.6357
Rb Li Ga O
4 6 2 8
direct
0.1296 0.2333 0.3629
0.3704 0.7333 0.1036
0.6296 0.2667 0.8964
0.8704 0.7667 0.6371
0.0100 0.2500 0.7600
0.2500 0.2500 0.0000
0.4900 0.2500 0.2400
0.5100 0.7500 0.7600
0.7500 0.7500 0.0000
0.9900 0.7500 0.2400
0.2500 0.7500 0.5000
0.7500 0.2500 0.5000
0.0494 0.4336 0.1455
0.2120 0.0664 0.6158
0.2880 0.9038 0.8545
0.4506 0.5962 0.3842
0.5494 0.4038 0.6158
0.7120 0.0962 0.1455
0.7880 0.9336 0.3842
0.9506 0.5664 0.8545
```

Properties
As for the total magnetization: 0.00 μB/f.u.

Entry from Alexandria via LeMat-Bulk: a crystal of LiGaSi2O6 relaxed with PBEsol (meta-GGA SCAN).

POSCAR file:
```
LiGaSi2O6
1.0
9.1889 0.0000 0.0000
0.0000 8.6055 0.0000
-1.1300 0.0000 5.1079
Li Ga Si O
4 4 8 24
direct
0.2493 0.0083 0.4789
0.2493 0.4917 0.9789
0.7507 0.5083 0.0211
0.7507 0.9917 0.5211
0.2492 0.6500 0.4780
0.2492 0.8500 0.9780
0.7508 0.1500 0.0220
0.7508 0.3500 0.5220
0.0509 0.1606 0.8084
0.0509 0.3394 0.3084
0.4523 0.1589 0.2296
0.4523 0.3411 0.7296
0.5477 0.6589 0.2704
0.5477 0.8411 0.7704
0.9491 0.6606 0.6916
0.9491 0.8394 0.1916
0.1065 0.2118 0.1160
0.1065 0.2882 0.6160
0.1250 0.5031 0.2607
0.1250 0.9969 0.7607
0.1339 0.6671 0.7583
0.1339 0.8329 0.2583
0.3637 0.6676 0.1985
0.3637 0.8324 0.6985
0.3853 0.5135 0.6932
0.3853 0.9865 0.1932
0.3897 0.2289 0.4773
0.3897 0.2711 0.9773
0.6103 0.7289 0.0227
0.6103 0.7711 0.5227
0.6147 0.0135 0.8068
0.6147 0.4865 0.3068
0.6363 0.1676 0.3015
0.6363 0.3324 0.8015
0.8661 0.1671 0.7417
0.8661 0.3329 0.2417
0.8750 0.0031 0.2393
0.8750 0.4969 0.7393
0.8935 0.7118 0.3840
0.8935 0.7882 0.8840
```

Properties
As for the total magnetization: 0.00 μB/f.u.

Entry from Alexandria via LeMat-Bulk: a crystal of LiGaSi2O6 relaxed with PBEsol (meta-GGA SCAN).

POSCAR file:
```
LiGaSi2O6
1.0
4.7982 -4.2912 0.0000
4.7982 4.2912 0.0000
-1.8381 0.0000 4.9597
Li Ga Si O
2 2 4 12
direct
0.2402 0.7598 0.7500
0.7598 0.2402 0.2500
0.4019 0.5981 0.2500
0.5981 0.4019 0.7500
0.1116 0.2953 0.7382
0.2953 0.1116 0.2382
0.7047 0.8884 0.7618
0.8884 0.7047 0.2618
0.1295 0.6022 0.3278
0.1418 0.1434 0.9501
0.1434 0.1418 0.4501
0.3020 0.4724 0.8547
0.3978 0.8705 0.1722
0.4724 0.3020 0.3547
0.5276 0.6980 0.6453
0.6022 0.1295 0.8278
0.6980 0.5276 0.1453
0.8566 0.8582 0.5499
0.8582 0.8566 0.0499
0.8705 0.3978 0.6722
```

Properties
As for the total magnetization: 0.00 μB/f.u.

Number 1: uncorrected formation energy 2.515 eV per formula unit, total energy -11.03 eV/atom. Number 2: uncorrected formation energy -8.876 eV per formula unit, total energy -10.02 eV/atom. Number 3: uncorrected formation energy -4.849 eV per formula unit, total energy -6.92 eV/atom. Number 4: uncorrected formation energy -8.817 eV per formula unit, total energy -10.00 eV/atom. Number 5: uncorrected formation energy -122.866 eV per formula unit, total energy -9.33 eV/atom. Number 6: uncorrected formation energy -19.536 eV per formula unit, total energy -10.95 eV/atom. Number 7: uncorrected formation energy -27.278 eV per formula unit, total energy -10.34 eV/atom. Number 8: uncorrected formation energy -27.272 eV per formula unit, total energy -10.34 eV/atom.